# 1
## CaFeAu2 (PBE-GGA)

Data for a relaxed CaFeAu2 crystal.

Results
size of the total moment	8.58	μB/cell
ΔE_f	0.25	eV/atom
raw total energy	-48.0	eV/cell

abc: 3.2243 3.2243 26.8309
angles: 90.00 90.00 120.00
Space group R3m (No. 160, hexagonal axes)
One atom of each set of equivalent atoms:
Ca  0.0000  0.0000  0.0000 (multiplicity 3)
Fe  0.0000  0.0000  0.2431 (multiplicity 3)
Au  0.0000  0.0000  0.5060 (multiplicity 3)
Au  0.0000  0.0000  0.7545 (multiplicity 3)

=====

# 2
## Ca2FeAu (PBE-GGA)

Data for a relaxed Ca2FeAu crystal.

Results
size of the total moment	10.60	μB/cell
ΔE_f	0.16	eV/atom
raw total energy	-60.5	eV/cell

abc: 7.053 7.053 7.053
angles: 90.00 90.00 90.00
Space group F-43m (No. 216)
One atom of each set of equivalent atoms:
Ca  0.000  0.000  0.000 (multiplicity 4)
Ca  0.250  0.250  0.250 (multiplicity 4)
Fe  0.000  0.000  0.500 (multiplicity 4)
Au  0.250  0.250  0.750 (multiplicity 4)

=====

# 3
## CaFeAu2 (PBE-GGA)

Data for a relaxed CaFeAu2 crystal.

Results
size of the total moment	3.00	μB/cell
ΔE_f	-0.12	eV/atom
raw total energy	-17.5	eV/cell

abc: 4.659 4.659 3.563
angles: 90.00 90.00 90.00
Space group P4/mmm (No. 123)
One atom of each set of equivalent atoms:
Ca  0.000  0.000  0.000 (multiplicity 1)
Fe  0.500  0.500  0.000 (multiplicity 1)
Au  0.000  0.500  0.500 (multiplicity 2)

=====

# 4
## Ca2FeAu (PBE-GGA)

Data for a relaxed Ca2FeAu crystal.

Results
size of the total moment	5.08	μB/cell
ΔE_f	-0.04	eV/atom
raw total energy	-31.8	eV/cell

abc: 11.818 3.605 4.966
angles: 90.00 114.72 90.00
Space group Cm (No. 8)
One atom of each set of equivalent atoms:
Ca  0.000  0.000  0.000 (multiplicity 2)
Ca  0.210  0.000  0.709 (multiplicity 2)
Fe  0.277  0.500  0.276 (multiplicity 2)
Au  0.452  0.000  0.452 (multiplicity 2)

=====

# 5
## CaFe2Au (PBE-GGA)

Data for a relaxed CaFe2Au crystal.

Results
size of the total moment	20.71	μB/cell
ΔE_f	0.35	eV/atom
raw total energy	-83.2	eV/cell

abc: 4.278 4.278 18.819
angles: 90.00 90.00 90.00
Space group I-42d (No. 122)
One atom of each set of equivalent atoms:
Ca  0.000  0.000  0.000 (multiplicity 4)
Fe  0.084  0.250  0.625 (multiplicity 8)
Au  0.000  0.000  0.500 (multiplicity 4)

=====

# 6
## CaFeAu2 (PBE-GGA)

Data for a relaxed CaFeAu2 crystal.

Results
size of the total moment	2.97	μB/cell
ΔE_f	-0.12	eV/atom
raw total energy	-17.5	eV/cell

abc: 3.463 4.702 4.976
angles: 90.00 95.75 90.00
Space group Pm (No. 6)
One atom of each set of equivalent atoms:
Ca  0.000  0.000  0.000 (multiplicity 1)
Fe  0.793  0.500  0.405 (multiplicity 1)
Au  0.479  0.000  0.499 (multiplicity 1)
Au  0.479  0.500  0.871 (multiplicity 1)

=====

# 7
## CaFeAu2 (PBE-GGA)

Data for a relaxed CaFeAu2 crystal.

Results
size of the total moment	3.18	μB/cell
ΔE_f	-0.19	eV/atom
raw total energy	-17.8	eV/cell

abc: 3.176 3.519 6.939
angles: 90.00 90.00 90.00
Space group Pmmm (No. 47)
One atom of each set of equivalent atoms:
Ca  0.000  0.000  0.000 (multiplicity 1)
Fe  0.000  0.000  0.500 (multiplicity 1)
Au  0.500  0.500  0.292 (multiplicity 2)

=====

# 8
## Ca2FeAu (PBE-GGA)

Data for a relaxed Ca2FeAu crystal.

Results
size of the total moment	4.83	μB/cell
ΔE_f	-0.12	eV/atom
raw total energy	-32.5	eV/cell

abc: 4.388 4.291 10.827
angles: 90.00 90.00 90.00
Space group Amm2 (No. 38)
One atom of each set of equivalent atoms:
Ca  0.000  0.000  0.000 (multiplicity 2)
Ca  0.500  0.000  0.292 (multiplicity 2)
Fe  0.500  0.000  0.589 (multiplicity 2)
Au  0.000  0.000  0.708 (multiplicity 2)